Entry 1:
! GGA-PBE CrCdRh2, optimized geometry; values from VASP
! Calculated volume in Å³ per atom: 15.51
! Space-group type: Cm (8)
! Total moment in μB per cell: 2.5
! Energy of formation from the pure elements in meV per atom: 91.2
&SYSTEM
  ibrav = 0, nat = 4, ntyp = 3
/
ATOMIC_SPECIES
Rh 102.91 Rh.upf
Cd 112.41 Cd.upf
Cr 52.00 Cr.upf
CELL_PARAMETERS angstrom
-0.954 -3.726 3.028
1.892 -3.363 3.012
-0.255 2.194 4.182
ATOMIC_POSITIONS crystal
Rh 0.742 0.742 0.751
Rh 0.997 0.997 0.025
Cd 0.498 0.498 0.519
Cr 0.263 0.263 0.205



Entry 2:
! GGA-PBE CrCdRh2, optimized geometry; values from VASP
! Calculated volume in Å³ per atom: 15.33
! Space-group type: I4/mmm (139)
! Total moment in μB per cell: 2.5
! Energy of formation from the pure elements in meV per atom: 36.6
&SYSTEM
  ibrav = 0, nat = 4, ntyp = 3
/
ATOMIC_SPECIES
Rh 102.91 Rh.upf
Cd 112.41 Cd.upf
Cr 52.00 Cr.upf
CELL_PARAMETERS angstrom
-2.696 3.767 -0.499
-4.040 -1.790 -1.476
2.483 -1.258 3.736
ATOMIC_POSITIONS crystal
Rh 0.000 0.000 0.000
Rh 0.500 0.500 0.000
Cd 0.250 0.750 0.500
Cr 0.750 0.250 0.500



Entry 3:
! GGA-PBE CrCdRh2, optimized geometry; values from VASP
! Calculated volume in Å³ per atom: 15.64
! Space-group type: P4mm (99)
! Total moment in μB per cell: 2.5
! Energy of formation from the pure elements in meV per atom: 150.0
&SYSTEM
  ibrav = 0, nat = 4, ntyp = 3
/
ATOMIC_SPECIES
Cr 52.00 Cr.upf
Rh 102.91 Rh.upf
Cd 112.41 Cd.upf
CELL_PARAMETERS angstrom
2.832 0.047 0.000
-0.047 2.832 0.000
0.000 0.000 7.800
ATOMIC_POSITIONS crystal
Cr 0.500 0.500 0.781
Rh 0.500 0.500 0.232
Rh 0.000 0.000 0.991
Cd 0.000 0.000 0.496



Entry 4:
! GGA-PBE CrCd3Rh, optimized geometry; values from VASP
! Calculated volume in Å³ per atom: 26.76
! Space-group type: Pm-3m (221)
! Total moment in μB per cell: 5.1
! Energy of formation from the pure elements in meV per atom: 616.1
&SYSTEM
  ibrav = 0, nat = 5, ntyp = 3
/
ATOMIC_SPECIES
Cr 52.00 Cr.upf
Rh 102.91 Rh.upf
Cd 112.41 Cd.upf
CELL_PARAMETERS angstrom
5.115 0.000 0.000
0.000 5.115 0.000
0.000 0.000 5.115
ATOMIC_POSITIONS crystal
Cr 0.500 0.500 0.500
Rh 0.000 0.000 0.000
Cd 0.000 0.500 0.000
Cd 0.000 0.000 0.500
Cd 0.500 0.000 0.000



Entry 5:
! GGA-PBE CrCd2Rh4, optimized geometry; values from VASP
! Calculated volume in Å³ per atom: 19.34
! Space-group type: I4/mmm (139)
! Total moment in μB per cell: 0.0
! Energy of formation from the pure elements in meV per atom: 566.3
&SYSTEM
  ibrav = 0, nat = 7, ntyp = 3
/
ATOMIC_SPECIES
Rh 102.91 Rh.upf
Cd 112.41 Cd.upf
Cr 52.00 Cr.upf
CELL_PARAMETERS angstrom
4.444 0.000 0.000
0.000 4.444 0.000
2.222 2.222 6.855
ATOMIC_POSITIONS crystal
Rh 0.000 0.500 0.000
Rh 0.839 0.839 0.323
Rh 0.161 0.161 0.677
Rh 0.500 0.000 0.000
Cd 0.638 0.638 0.724
Cd 0.362 0.362 0.276
Cr 0.000 0.000 0.000



Entry 6:
! GGA-PBE CrCd2Rh, optimized geometry; values from VASP
! Calculated volume in Å³ per atom: 17.48
! Space-group type: Cm (8)
! Total moment in μB per cell: 3.5
! Energy of formation from the pure elements in meV per atom: 155.1
&SYSTEM
  ibrav = 0, nat = 4, ntyp = 3
/
ATOMIC_SPECIES
Cd 112.41 Cd.upf
Rh 102.91 Rh.upf
Cr 52.00 Cr.upf
CELL_PARAMETERS angstrom
-3.762 3.377 -0.453
-4.913 0.922 0.880
-0.014 2.359 4.335
ATOMIC_POSITIONS crystal
Cd 0.242 0.242 0.255
Cd 0.010 0.010 0.992
Rh 0.766 0.766 0.730
Cr 0.482 0.482 0.523



Entry 7:
! GGA-PBE Cr3CdRh, optimized geometry; values from VASP
! Calculated volume in Å³ per atom: 21.60
! Space-group type: Pm-3m (221)
! Total moment in μB per cell: 11.0
! Energy of formation from the pure elements in meV per atom: 1108.4
&SYSTEM
  ibrav = 0, nat = 5, ntyp = 3
/
ATOMIC_SPECIES
Cd 112.41 Cd.upf
Cr 52.00 Cr.upf
Rh 102.91 Rh.upf
CELL_PARAMETERS angstrom
-1.328 -4.353 -1.404
1.991 -1.867 3.903
-4.117 0.501 2.340
ATOMIC_POSITIONS crystal
Cd 0.500 0.500 0.500
Cr 0.500 0.000 0.000
Cr 0.000 0.000 0.500
Cr 0.000 0.500 0.000
Rh 0.000 0.000 0.000



Entry 8:
! GGA-PBE CrCd2Rh, optimized geometry; values from VASP
! Calculated volume in Å³ per atom: 17.63
! Space-group type: P2/m (10)
! Total moment in μB per cell: 3.8
! Energy of formation from the pure elements in meV per atom: 246.0
&SYSTEM
  ibrav = 0, nat = 4, ntyp = 3
/
ATOMIC_SPECIES
Cd 112.41 Cd.upf
Rh 102.91 Rh.upf
Cr 52.00 Cr.upf
CELL_PARAMETERS angstrom
-1.305 -0.104 4.538
2.735 -0.702 0.771
1.728 4.800 0.607
ATOMIC_POSITIONS crystal
Cd 0.000 0.984 0.995
Cd 0.000 0.516 0.505
Rh 0.500 0.750 0.750
Cr 0.500 0.250 0.250



Entry 9:
! GGA-PBE CrCdRh2, optimized geometry; values from VASP
! Calculated volume in Å³ per atom: 15.84
! Space-group type: F-43m (216)
! Total moment in μB per cell: 2.7
! Energy of formation from the pure elements in meV per atom: 257.9
&SYSTEM
  ibrav = 0, nat = 4, ntyp = 3
/
ATOMIC_SPECIES
Rh 102.91 Rh.upf
Cd 112.41 Cd.upf
Cr 52.00 Cr.upf
CELL_PARAMETERS angstrom
-2.777 -3.001 -1.819
-2.448 -2.666 2.631
-4.427 0.589 0.283
ATOMIC_POSITIONS crystal
Rh 0.000 0.000 0.000
Rh 0.750 0.750 0.750
Cd 0.500 0.500 0.500
Cr 0.250 0.250 0.250



Entry 10:
! GGA-PBE CrCdRh3, optimized geometry; values from VASP
! Calculated volume in Å³ per atom: 17.99
! Space-group type: Pm-3m (221)
! Total moment in μB per cell: 0.0
! Energy of formation from the pure elements in meV per atom: 632.1
&SYSTEM
  ibrav = 0, nat = 5, ntyp = 3
/
ATOMIC_SPECIES
Rh 102.91 Rh.upf
Cr 52.00 Cr.upf
Cd 112.41 Cd.upf
CELL_PARAMETERS angstrom
4.481 0.000 0.000
0.000 4.481 0.000
0.000 0.000 4.481
ATOMIC_POSITIONS crystal
Rh 0.000 0.500 0.000
Rh 0.000 0.000 0.500
Rh 0.500 0.000 0.000
Cr 0.000 0.000 0.000
Cd 0.500 0.500 0.500



Entry 11:
! GGA-PBE CrCdRh2, optimized geometry; values from VASP
! Calculated volume in Å³ per atom: 15.51
! Space-group type: Pmm2 (25)
! Total moment in μB per cell: 2.4
! Energy of formation from the pure elements in meV per atom: 101.5
&SYSTEM
  ibrav = 0, nat = 4, ntyp = 3
/
ATOMIC_SPECIES
Rh 102.91 Rh.upf
Cr 52.00 Cr.upf
Cd 112.41 Cd.upf
CELL_PARAMETERS angstrom
2.836 0.000 0.000
0.000 3.869 0.000
0.000 0.000 5.654
ATOMIC_POSITIONS crystal
Rh 0.000 0.000 0.981
Rh 0.500 0.500 0.238
Cr 0.500 0.500 0.790
Cd 0.000 0.000 0.492



Entry 12:
! GGA-PBE CrCd2Rh, optimized geometry; values from VASP
! Calculated volume in Å³ per atom: 17.34
! Space-group type: I-4m2 (119)
! Total moment in μB per cell: 3.9
! Energy of formation from the pure elements in meV per atom: 150.5
&SYSTEM
  ibrav = 0, nat = 4, ntyp = 3
/
ATOMIC_SPECIES
Cr 52.00 Cr.upf
Cd 112.41 Cd.upf
Rh 102.91 Rh.upf
CELL_PARAMETERS angstrom
5.038 0.011 0.000
1.683 4.748 0.000
-3.361 -2.380 2.902
ATOMIC_POSITIONS crystal
Cr 0.500 0.500 0.000
Cd 0.000 0.000 0.000
Cd 0.250 0.750 0.500
Rh 0.750 0.250 0.500



Entry 13:
! GGA-PBE CrCd2Rh, optimized geometry; values from VASP
! Calculated volume in Å³ per atom: 17.88
! Space-group type: R-3m (166)
! Total moment in μB per cell: 3.5
! Energy of formation from the pure elements in meV per atom: 316.0
&SYSTEM
  ibrav = 0, nat = 4, ntyp = 3
/
ATOMIC_SPECIES
Rh 102.91 Rh.upf
Cd 112.41 Cd.upf
Cr 52.00 Cr.upf
CELL_PARAMETERS angstrom
9.302 -0.005 -0.003
8.818 2.962 -0.003
8.818 1.439 2.589
ATOMIC_POSITIONS crystal
Rh 0.750 0.750 0.750
Cd 0.003 0.003 0.003
Cd 0.497 0.497 0.497
Cr 0.250 0.250 0.250



Entry 14:
! GGA-PBE CrCdRh2, optimized geometry; values from VASP
! Calculated volume in Å³ per atom: 14.96
! Space-group type: R3m (160)
! Total moment in μB per cell: 0.3
! Energy of formation from the pure elements in meV per atom: 193.9
&SYSTEM
  ibrav = 0, nat = 4, ntyp = 3
/
ATOMIC_SPECIES
Rh 102.91 Rh.upf
Cr 52.00 Cr.upf
Cd 112.41 Cd.upf
CELL_PARAMETERS angstrom
-5.037 -2.295 -7.311
-2.551 -2.229 -8.521
-3.396 -4.519 -7.220
ATOMIC_POSITIONS crystal
Rh 0.995 0.995 0.995
Rh 0.747 0.747 0.747
Cr 0.257 0.257 0.257
Cd 0.501 0.501 0.501



Entry 15:
! GGA-PBE CrCd2Rh, optimized geometry; values from VASP
! Calculated volume in Å³ per atom: 17.34
! Space-group type: I4/mmm (139)
! Total moment in μB per cell: 4.0
! Energy of formation from the pure elements in meV per atom: 105.6
&SYSTEM
  ibrav = 0, nat = 4, ntyp = 3
/
ATOMIC_SPECIES
Cd 112.41 Cd.upf
Rh 102.91 Rh.upf
Cr 52.00 Cr.upf
CELL_PARAMETERS angstrom
-3.579 -3.482 0.468
1.935 -4.486 -1.134
1.567 3.597 3.124
ATOMIC_POSITIONS crystal
Cd 0.500 0.500 0.000
Cd 0.000 0.000 0.000
Rh 0.250 0.750 0.500
Cr 0.750 0.250 0.500